1.
## NaInGa2Fe (PBE)

Data for an optimized crystal structure of NaInGa2Fe.

abc: 4.6481 4.6481 4.9420
angles: 90.00 90.00 90.00
Closest atoms and distances in Å follow each position.
Space group P4/mmm (No. 123)
Symmetry-distinct sites (fractional):
1 Na 0.0000 0.0000 0.0000 (multiplicity 1)  4 In 3.29, 8 Ga 3.39
2 In 0.5000 0.5000 0.0000 (multiplicity 1)  2 Fe 2.47
3 Ga 0.0000 0.5000 0.5000 (multiplicity 2)  2 Fe 2.32
4 Fe 0.5000 0.5000 0.5000 (multiplicity 1)  4 Ga 2.32, 2 In 2.47

Calculated values
**VASP energy**: -3.79 eV per atom
**Energy of formation**: -0.4 eV per formula unit
**Magnetization**: 0.00 μB/f.u.



2.
## SmHo6In2 (PBE)

Data for an optimized crystal structure of SmHo6In2.

abc: 12.6817 3.7347 11.9139
angles: 90.00 107.90 90.00
Closest atoms and distances in Å follow each position.
Space group C2/m (No. 12)
Symmetry-distinct sites (fractional):
1 Sm 0.0000 0.0000 0.0000 (multiplicity 2)  4 In 3.23
2 Ho 0.0133 0.0000 0.3445 (multiplicity 4)  2 In 3.21, 7 Ho 3.50-3.59
3 Ho 0.1858 0.5000 0.8749 (multiplicity 4)  2 In 3.26, 5 Ho 3.47-3.56
4 Ho 0.1900 0.5000 0.5829 (multiplicity 4)  2 In 3.27, 8 Ho 3.40-3.59
5 In 0.1441 0.5000 0.2128 (multiplicity 4)  6 Ho 3.21-3.27, 2 Sm 3.23

Calculated values
**VASP energy**: -4.38 eV per atom
**Energy of formation**: -1.8 eV per formula unit
**Excess energy over the best structure of this formula in the dataset**: 0.0 meV per atom
**Magnetization**: 0.00 μB/f.u.



3.
## Dy5NpN6 (PBE)

Data for an optimized crystal structure of Dy5NpN6.

abc: 5.9914 10.3799 5.9880
angles: 90.00 109.46 90.00
Closest atoms and distances in Å follow each position.
Space group C2/m (No. 12)
Symmetry-distinct sites (fractional):
1 Dy 0.0000 0.0000 0.0000 (multiplicity 2)  6 N 2.44-2.55
2 Dy 0.0000 0.1665 0.5000 (multiplicity 4)  6 N 2.45-2.46
3 Dy 0.0000 0.3321 0.0000 (multiplicity 4)  6 N 2.44-2.53
4 Np 0.0000 0.5000 0.5000 (multiplicity 2)  6 N 2.34-2.36
5 N 0.2382 0.5000 0.2598 (multiplicity 4)  1 Np 2.34, 5 Dy 2.45-2.55
6 N 0.2409 0.3400 0.7429 (multiplicity 8)  1 Np 2.36, 5 Dy 2.44-2.53

Calculated values
**VASP energy**: -8.77 eV per atom
**Uncorrected formation energy**: -155.95 kJ per mole of atoms
**Magnetization**: 2.80 μB/f.u.